DFT (PBE) results for a relaxed structure of Na2Si3PdPt4.

Computed properties:
The value obtained for the spin magnetization is 0.0 μB/cell. The uncorrected formation energy comes out at -0.533 eV/atom. For the electronic total energy, the calculation gives -5.36 eV/atom.

a b c (Å): 4.058 4.058 10.624
angles (deg): 90.00 90.00 90.00
Positions (direct):
Na (0.000, 0.500, 0.244)
Na (0.500, 0.000, 0.756)
Si (0.000, 0.000, 0.000)
Si (0.000, 0.500, 0.631)
Si (0.500, 0.000, 0.369)
Pd (0.500, 0.500, 0.000)
Pt (0.000, 0.000, 0.500)
Pt (0.000, 0.500, 0.846)
Pt (0.500, 0.000, 0.154)
Pt (0.500, 0.500, 0.500)


DFT (PBE) results for a relaxed structure of NaSmPdPt.

Computed properties:
The calculation puts the energy of formation at -0.6068 eV/atom. The value obtained for the spin magnetization is 0.0 μB/cell. For the electronic total energy, the calculation gives -4.92 eV/atom.

a b c (Å): 4.891 4.891 4.891
angles (deg): 60.00 60.00 60.00
Positions (direct):
Na (0.000, 0.000, 0.000)
Sm (0.500, 0.500, 0.500)
Pd (0.750, 0.750, 0.750)
Pt (0.250, 0.250, 0.250)


DFT (PBE) results for a relaxed structure of Na2Sn4Pd3Pt.

Computed properties:
The calculation puts the energy of formation at -0.4162 eV/atom. The value obtained for the spin magnetization is 0.0 μB/cell. For the electronic total energy, the calculation gives -4.44 eV/atom.

a b c (Å): 4.493 4.493 11.324
angles (deg): 90.00 90.00 90.00
Positions (direct):
Na (0.000, 0.500, 0.240)
Na (0.500, 0.000, 0.760)
Sn (0.000, 0.000, 0.500)
Sn (0.000, 0.500, 0.871)
Sn (0.500, 0.000, 0.129)
Sn (0.500, 0.500, 0.500)
Pd (0.000, 0.000, 0.000)
Pd (0.000, 0.500, 0.638)
Pd (0.500, 0.000, 0.362)
Pt (0.500, 0.500, 0.000)


DFT (PBE) results for a relaxed structure of Na2SnPdPt.

Computed properties:
The calculation puts the energy of formation at 0.2711 eV/atom. The value obtained for the spin magnetization is 0.0 μB/cell. For the electronic total energy, the calculation gives -3.30 eV/atom.

a b c (Å): 4.999 4.999 5.082
angles (deg): 90.00 90.00 90.00
Positions (direct):
Na (0.000, 0.500, 0.000)
Na (0.500, 0.000, 0.000)
Sn (0.000, 0.000, 0.500)
Pd (0.000, 0.000, 0.000)
Pt (0.500, 0.500, 0.500)